The following is a PBE-GGA calculation of a geometry-optimized YTmGe2Ir structure, from OQMD.

Summary:
energy above the most stable polymorph in this dataset	6	meV per atom
total magnetic moment	0.0	μB/cell
SG	C2/m
calculated total energy	-6.7273	eV per atom

Lattice parameters (Å, degrees): 5.667 5.667 10.275 114.62 114.62 44.61
Fractional coordinates of all 10 atoms:
Y: 0.008 0.008 0.329
Y: 0.992 0.992 0.671
Tm: 0.189 0.189 0.118
Tm: 0.811 0.811 0.882
Ge: 0.354 0.354 0.447
Ge: 0.477 0.477 0.114
Ge: 0.523 0.523 0.886
Ge: 0.646 0.646 0.553
Ir: 0.272 0.272 0.666
Ir: 0.728 0.728 0.334


The following is a PBE-GGA calculation of a geometry-optimized YTmGe2Ir structure, from OQMD.

Summary:
energy above the most stable polymorph in this dataset	0	meV per atom
total magnetic moment	0.0	μB/cell
SG	C2/m
calculated total energy	-6.7331	eV per atom

Lattice parameters (Å, degrees): 5.649 5.649 10.267 114.46 114.46 44.77
Fractional coordinates of all 10 atoms:
Y: 0.190 0.190 0.118
Y: 0.810 0.810 0.882
Tm: 0.008 0.008 0.330
Tm: 0.992 0.992 0.670
Ge: 0.355 0.355 0.447
Ge: 0.477 0.477 0.115
Ge: 0.523 0.523 0.885
Ge: 0.645 0.645 0.553
Ir: 0.272 0.272 0.665
Ir: 0.728 0.728 0.335


The following is a PBE-GGA calculation of a geometry-optimized UGeIr structure, from OQMD.

Summary:
total magnetic moment	1.0	μB/cell
SG	F-43m
calculated total energy	-7.9860	eV per atom

Lattice parameters (Å, degrees): 4.574 4.574 4.574 60.00 60.00 60.00
Fractional coordinates of all 3 atoms:
U: 0.000 0.000 0.000
Ge: 0.250 0.250 0.250
Ir: 0.750 0.750 0.750


The following is a PBE-GGA calculation of a geometry-optimized UGeIr structure, from OQMD.

Summary:
total magnetic moment	1.0	μB/cell
SG	F-43m
calculated total energy	-8.5928	eV per atom

Lattice parameters (Å, degrees): 4.504 4.504 4.504 60.00 60.00 60.00
Fractional coordinates of all 3 atoms:
U: 0.000 0.000 0.000
Ge: 0.500 0.500 0.500
Ir: 0.750 0.750 0.750


The following is a PBE-GGA calculation of a geometry-optimized GeIrW structure, from OQMD.

Summary:
energy above the most stable polymorph in this dataset	0	meV per atom
total magnetic moment	0.0	μB/cell
SG	F-43m
calculated total energy	-8.5139	eV per atom

Lattice parameters (Å, degrees): 4.245 4.245 4.245 60.00 60.00 60.00
Fractional coordinates of all 3 atoms:
Ge: 0.000 0.000 0.000
Ir: 0.500 0.500 0.500
W: 0.250 0.250 0.250


The following is a PBE-GGA calculation of a geometry-optimized Ge3Ir2W2 structure, from OQMD.

Summary:
total magnetic moment	0.0	μB/cell
SG	R3m
calculated total energy	-7.8530	eV per atom

Lattice parameters (Å, degrees): 7.758 7.758 7.758 31.68 31.68 31.68
Fractional coordinates of all 7 atoms:
Ge: 0.000 0.000 0.000
Ge: 0.236 0.236 0.236
Ge: 0.762 0.762 0.762
Ir: 0.367 0.367 0.367
Ir: 0.878 0.878 0.878
W: 0.122 0.122 0.122
W: 0.614 0.614 0.614


The following is a PBE-GGA calculation of a geometry-optimized GeIrW structure, from OQMD.

Summary:
energy above the most stable polymorph in this dataset	249	meV per atom
total magnetic moment	1.0	μB/cell
SG	F-43m
calculated total energy	-8.2650	eV per atom

Lattice parameters (Å, degrees): 4.165 4.165 4.165 60.00 60.00 60.00
Fractional coordinates of all 3 atoms:
Ge: 0.000 0.000 0.000
Ir: 0.750 0.750 0.750
W: 0.250 0.250 0.250


The following is a PBE-GGA calculation of a geometry-optimized Ge2IrW structure, from OQMD.

Summary:
total magnetic moment	0.0	μB/cell
SG	F-43m
calculated total energy	-7.3435	eV per atom

Lattice parameters (Å, degrees): 4.466 4.466 4.466 60.00 60.00 60.00
Fractional coordinates of all 4 atoms:
Ge: 0.000 0.000 0.000
Ge: 0.250 0.250 0.250
Ir: 0.750 0.750 0.750
W: 0.500 0.500 0.500


The following is a PBE-GGA calculation of a geometry-optimized YGe2Ir structure, from OQMD.

Summary:
total magnetic moment	0.0	μB/cell
SG	F-43m
calculated total energy	-6.4622	eV per atom

Lattice parameters (Å, degrees): 4.730 4.730 4.730 60.00 60.00 60.00
Fractional coordinates of all 4 atoms:
Y: 0.000 0.000 0.000
Ge: 0.500 0.500 0.500
Ge: 0.750 0.750 0.750
Ir: 0.250 0.250 0.250


The following is a PBE-GGA calculation of a geometry-optimized YGeIr2 structure, from OQMD.

Summary:
total magnetic moment	0.0	μB/cell
SG	F-43m
calculated total energy	-7.2818	eV per atom

Lattice parameters (Å, degrees): 4.651 4.651 4.651 60.00 60.00 60.00
Fractional coordinates of all 4 atoms:
Y: 0.000 0.000 0.000
Ge: 0.750 0.750 0.750
Ir: 0.250 0.250 0.250
Ir: 0.500 0.500 0.500


The following is a PBE-GGA calculation of a geometry-optimized Y2Ge5Ir3 structure, from OQMD.

Summary:
total magnetic moment	0.0	μB/cell
SG	Ibam
calculated total energy	-6.9778	eV per atom

Lattice parameters (Å, degrees): 8.381 8.381 8.381 104.24 90.75 137.81
Fractional coordinates of all 20 atoms:
Y: 0.134 0.226 0.360
Y: 0.366 0.726 0.092
Y: 0.634 0.274 0.908
Y: 0.866 0.774 0.640
Ge: 0.027 0.750 0.277
Ge: 0.098 0.662 0.761
Ge: 0.250 0.250 0.000
Ge: 0.402 0.162 0.564
Ge: 0.473 0.750 0.723
Ge: 0.527 0.250 0.277
Ge: 0.598 0.838 0.436
Ge: 0.750 0.750 0.000
Ge: 0.902 0.338 0.239
Ge: 0.973 0.250 0.723
Ir: 0.142 0.889 0.031
Ir: 0.250 0.750 0.500
Ir: 0.358 0.389 0.747
Ir: 0.642 0.611 0.253
Ir: 0.750 0.250 0.500
Ir: 0.858 0.111 0.969


The following is a PBE-GGA calculation of a geometry-optimized Y6Ge2Ir structure, from OQMD.

Summary:
total magnetic moment	0.4	μB/cell
SG	P-62m
calculated total energy	-6.9994	eV per atom

Lattice parameters (Å, degrees): 7.847 7.847 4.302 90.00 90.00 120.00
Fractional coordinates of all 9 atoms:
Y: 0.000 0.405 0.000
Y: 0.000 0.749 0.500
Y: 0.251 0.251 0.500
Y: 0.405 0.000 0.000
Y: 0.595 0.595 0.000
Y: 0.749 0.000 0.500
Ge: 0.333 0.667 0.500
Ge: 0.667 0.333 0.500
Ir: 0.000 0.000 0.000


The following is a PBE-GGA calculation of a geometry-optimized Y2Ge2Ir structure, from OQMD.

Summary:
total magnetic moment	0.0	μB/cell
SG	P4/mbm
calculated total energy	-7.0947	eV per atom

Lattice parameters (Å, degrees): 6.700 6.700 4.458 90.00 90.00 90.00
Fractional coordinates of all 10 atoms:
Y: 0.174 0.326 0.000
Y: 0.326 0.826 0.000
Y: 0.674 0.174 0.000
Y: 0.826 0.674 0.000
Ge: 0.136 0.636 0.500
Ge: 0.364 0.136 0.500
Ge: 0.636 0.864 0.500
Ge: 0.864 0.364 0.500
Ir: 0.000 0.000 0.500
Ir: 0.500 0.500 0.500


The following is a PBE-GGA calculation of a geometry-optimized YGe2Ir structure, from OQMD.

Summary:
total magnetic moment	0.0	μB/cell
SG	F-43m
calculated total energy	-6.4622	eV per atom

Lattice parameters (Å, degrees): 4.730 4.730 4.730 60.00 60.00 60.00
Fractional coordinates of all 4 atoms:
Y: 0.000 0.000 0.000
Ge: 0.500 0.500 0.500
Ge: 0.750 0.750 0.750
Ir: 0.250 0.250 0.250


The following is a PBE-GGA calculation of a geometry-optimized Y3Ge13Ir4 structure, from OQMD.

Summary:
total magnetic moment	0.0	μB/cell
SG	Pm-3n
calculated total energy	-6.2565	eV per atom

Lattice parameters (Å, degrees): 9.038 9.038 9.038 90.00 90.00 90.00
Fractional coordinates of all 40 atoms:
Y: 0.000 0.250 0.500
Y: 0.000 0.750 0.500
Y: 0.250 0.500 0.000
Y: 0.500 0.000 0.250
Y: 0.500 0.000 0.750
Y: 0.750 0.500 0.000
Ge: 0.000 0.000 0.000
Ge: 0.000 0.306 0.145
Ge: 0.000 0.306 0.855
Ge: 0.000 0.694 0.145
Ge: 0.000 0.694 0.855
Ge: 0.145 0.000 0.306
Ge: 0.145 0.000 0.694
Ge: 0.194 0.500 0.355
Ge: 0.194 0.500 0.645
Ge: 0.306 0.145 0.000
Ge: 0.306 0.855 0.000
Ge: 0.355 0.194 0.500
Ge: 0.355 0.806 0.500
Ge: 0.500 0.355 0.194
Ge: 0.500 0.355 0.806
Ge: 0.500 0.500 0.500
Ge: 0.500 0.645 0.194
Ge: 0.500 0.645 0.806
Ge: 0.645 0.194 0.500
Ge: 0.645 0.806 0.500
Ge: 0.694 0.145 0.000
Ge: 0.694 0.855 0.000
Ge: 0.806 0.500 0.355
Ge: 0.806 0.500 0.645
Ge: 0.855 0.000 0.306
Ge: 0.855 0.000 0.694
Ir: 0.250 0.250 0.250
Ir: 0.250 0.250 0.750
Ir: 0.250 0.750 0.250
Ir: 0.250 0.750 0.750
Ir: 0.750 0.250 0.250
Ir: 0.750 0.250 0.750
Ir: 0.750 0.750 0.250
Ir: 0.750 0.750 0.750


The following is a PBE-GGA calculation of a geometry-optimized Y2Ge2Ir structure, from OQMD.

Summary:
total magnetic moment	0.0	μB/cell
SG	I4/mmm
calculated total energy	-6.6533	eV per atom

Lattice parameters (Å, degrees): 8.750 8.750 8.750 156.18 156.18 33.94
Fractional coordinates of all 5 atoms:
Y: 0.098 0.098 0.000
Y: 0.902 0.902 0.000
Ge: 0.250 0.750 0.500
Ge: 0.750 0.250 0.500
Ir: 0.500 0.500 0.000


The following is a PBE-GGA calculation of a geometry-optimized ZnGeIr2 structure, from OQMD.

Summary:
total magnetic moment	0.0	μB/cell
SG	F-43m
calculated total energy	-5.6921	eV per atom

Lattice parameters (Å, degrees): 4.400 4.400 4.400 60.00 60.00 60.00
Fractional coordinates of all 4 atoms:
Zn: 0.000 0.000 0.000
Ge: 0.750 0.750 0.750
Ir: 0.250 0.250 0.250
Ir: 0.500 0.500 0.500


The following is a PBE-GGA calculation of a geometry-optimized ZnGeIr structure, from OQMD.

Summary:
total magnetic moment	0.0	μB/cell
SG	F-43m
calculated total energy	-4.8597	eV per atom

Lattice parameters (Å, degrees): 4.128 4.128 4.128 60.00 60.00 60.00
Fractional coordinates of all 3 atoms:
Zn: 0.000 0.000 0.000
Ge: 0.750 0.750 0.750
Ir: 0.500 0.500 0.500


The following is a PBE-GGA calculation of a geometry-optimized ZnGe2Ir3 structure, from OQMD.

Summary:
total magnetic moment	0.0	μB/cell
SG	P6/mmm
calculated total energy	-6.0143	eV per atom

Lattice parameters (Å, degrees): 5.575 5.575 3.817 90.00 90.00 120.00
Fractional coordinates of all 6 atoms:
Zn: 0.000 0.000 0.000
Ge: 0.333 0.667 0.000
Ge: 0.667 0.333 0.000
Ir: 0.000 0.500 0.500
Ir: 0.500 0.000 0.500
Ir: 0.500 0.500 0.500


The following is a PBE-GGA calculation of a geometry-optimized ZrZn2GeIr4 structure, from OQMD.

Summary:
total magnetic moment	0.0	μB/cell
SG	P4/mmm
calculated total energy	-6.8600	eV per atom

Lattice parameters (Å, degrees): 4.232 4.232 6.725 90.00 90.00 90.00
Fractional coordinates of all 8 atoms:
Zr: 0.000 0.000 0.000
Zn: 0.000 0.000 0.500
Zn: 0.500 0.500 0.000
Ge: 0.500 0.500 0.500
Ir: 0.000 0.500 0.270
Ir: 0.000 0.500 0.730
Ir: 0.500 0.000 0.270
Ir: 0.500 0.000 0.730